--- one ---
The following is a PBE calculation of an optimized crystal structure of Sr2GaP, from the Alexandria database.

Geometry as POSCAR:
```
Sr2GaP
1.0
-4.200 4.200 3.694
4.200 -4.200 3.694
4.200 4.200 -3.694
Sr Ga P
4 2 2
Cartesian
6.300 1.793 -0.923
1.793 2.100 0.923
-2.100 2.407 2.770
2.407 2.100 4.617
4.200 0.000 1.847
0.000 0.000 3.694
0.000 0.000 0.000
0.000 4.200 1.847
```

## Properties
Magnetization, Bohr magnetons per cell: 0.000
SG: I-42d, No. 122
Density, Mg/m³: 3.5

--- two ---
The following is a PBE calculation of an optimized crystal structure of Sr2GaP, from the Alexandria database.

Geometry as POSCAR:
```
Sr2GaP
1.0
0.000 3.808 3.808
3.808 0.000 3.808
3.808 3.808 0.000
Sr Ga P
2 1 1
Cartesian
1.904 1.904 1.904
5.712 5.712 5.712
0.000 0.000 0.000
3.808 3.808 3.808
```

## Properties
Magnetization, Bohr magnetons per cell: 0.000
SG: Fm-3m, No. 225
Density, Mg/m³: 4.1

The relative energies come out as one 118; two 0, with values in meV per atom.

--- one ---
The following is a PBE calculation of an optimized crystal structure of Sr2GaP2, from the Alexandria database.

Geometry as POSCAR:
```
Sr2GaP2
1.0
6.713 -3.075 0.000
6.713 3.075 0.000
-4.402 0.000 7.074
Sr Ga P
4 2 4
Cartesian
-0.734 0.000 2.050
0.320 0.000 6.414
8.703 0.000 0.660
9.757 0.000 5.024
3.425 0.000 2.486
5.598 0.000 4.589
1.956 0.000 0.715
3.171 0.000 4.832
5.852 0.000 2.242
7.067 0.000 6.359
```

## Properties
Magnetization, Bohr magnetons per cell: 1.755
SG: C2/m, No. 12
Density, Mg/m³: 3.5

--- two ---
The following is a PBE calculation of an optimized crystal structure of Sr2GaP2, from the Alexandria database.

Geometry as POSCAR:
```
Sr2GaP2
1.0
7.573 0.000 0.000
0.000 7.573 0.000
0.000 0.000 4.374
Sr Ga P
4 2 4
Cartesian
1.395 2.391 0.000
2.391 6.178 0.000
5.181 1.395 0.000
6.178 5.181 0.000
0.000 0.000 2.187
3.786 3.786 2.187
0.794 4.581 2.187
2.992 0.794 2.187
4.581 6.778 2.187
6.778 2.992 2.187
```

## Properties
Magnetization, Bohr magnetons per cell: 0.000
SG: P4/mbm, No. 127
Density, Mg/m³: 4.1

--- three ---
The following is a PBE calculation of an optimized crystal structure of Sr2GaP2, from the Alexandria database.

Geometry as POSCAR:
```
Sr2GaP2
1.0
-1.832 1.832 9.464
1.832 -1.832 9.464
1.832 1.832 -9.464
Sr Ga P
2 1 2
Cartesian
0.000 0.000 2.211
0.000 0.000 16.718
0.000 0.000 9.464
1.832 0.000 4.732
0.000 1.832 4.732
```

## Properties
Magnetization, Bohr magnetons per cell: 0.000
SG: I4/mmm, No. 139
Density, Mg/m³: 4.0

--- four ---
The following is a PBE calculation of an optimized crystal structure of Sr2GaP2, from the Alexandria database.

Geometry as POSCAR:
```
Sr2GaP2
1.0
8.708 0.000 0.000
0.000 8.708 0.000
0.000 0.000 3.521
Sr Ga P
4 2 4
Cartesian
1.194 3.160 0.000
3.160 7.514 0.000
5.548 1.194 0.000
7.514 5.548 0.000
0.000 0.000 0.000
4.354 4.354 0.000
1.435 5.789 1.761
2.919 1.435 1.761
5.789 7.273 1.761
7.273 2.919 1.761
```

## Properties
Magnetization, Bohr magnetons per cell: 0.000
SG: P4/mbm, No. 127
Density, Mg/m³: 3.8

The relative energies come out as one 9; two 0; three 408; four 341, with values in meV per atom.